[1]
The following is a PBE-GGA calculation of a relaxed K2ScIr crystal, from the Alexandria database.

Unit cell a=10.641 b=10.641 c=4.027 alpha=78.99 beta=78.99 gamma=18.44
Sites, in units of the cell vectors:
1 Ir 0.250 0.250 0.250
2 K 0.900 0.900 0.099
3 K 0.600 0.600 0.401
4 Sc 0.750 0.750 0.750

offset from the most stable computed form	0.000	eV/f.u.
SG	C2/m

[2]
The following is a PBE-GGA calculation of a relaxed Na2AlZnSn crystal, from the Alexandria database.

Unit cell a=5.983 b=5.311 c=5.983 alpha=90.00 beta=90.00 gamma=90.00
Sites, in units of the cell vectors:
1 Na 0.000 0.000 0.500
2 Na 0.500 0.000 0.000
3 Zn 0.500 0.500 0.500
4 Sn 0.000 0.000 0.000
5 Al 0.000 0.500 0.000

SG	P4/mmm

[3]
The following is a PBE-GGA calculation of a relaxed CePmHoIn crystal, from the Alexandria database.

Unit cell a=5.436 b=5.436 c=5.436 alpha=60.00 beta=60.00 gamma=60.00
Sites, in units of the cell vectors:
1 In 0.250 0.250 0.250
2 Ho 0.000 0.000 0.000
3 Ce 0.750 0.750 0.750
4 Pm 0.500 0.500 0.500

SG	F-43m

[4]
The following is a PBE-GGA calculation of a relaxed Be2BPt crystal, from the Alexandria database.

Unit cell a=7.259 b=7.259 c=5.526 alpha=48.94 beta=48.94 gamma=90.00
Sites, in units of the cell vectors:
1 Be 0.375 0.125 0.250
2 Be 0.375 0.625 0.250
3 Be 0.375 0.625 0.750
4 Be 0.875 0.625 0.750
5 B 0.500 0.500 0.000
6 B 0.250 0.750 0.500
7 Pt 0.000 0.000 0.000
8 Pt 0.750 0.250 0.500

SG	I4_1/amd

no.,M_tot (μB/f.u.),volume (Å³ per cell),calculated formation energy (eV/atom)
1,0.0,142,0.01
2,0.0,190,0.34
3,0.0,114,-0.08
4,0.0,108,0.16